AlAgSb | PBE | relaxed

Geometry as CIF:
```
data_AlAgSb
_chemical_formula_sum 'Al2 Ag2 Sb2'
_cell_length_a 4.6368
_cell_length_b 4.6368
_cell_length_c 6.3067
_cell_angle_alpha 90.00
_cell_angle_beta 90.00
_cell_angle_gamma 90.00
_symmetry_space_group_name_H-M 'P 4/n m m'
_symmetry_Int_Tables_number 129
loop_
_symmetry_equiv_pos_as_xyz
'x,y,z'
'-x,-y,-z'
'-y+1/2,x,z'
'y+1/2,-x,-z'
'-x+1/2,-y+1/2,z'
'x+1/2,y+1/2,-z'
'y,-x+1/2,z'
'-y,x+1/2,-z'
'x+1/2,-y,-z'
'-x+1/2,y,z'
'-y,-x,-z'
'y,x,z'
'-x,y+1/2,-z'
'x,-y+1/2,z'
'y+1/2,x+1/2,-z'
'-y+1/2,-x+1/2,z'
loop_
_atom_site_label
_atom_site_type_symbol
_atom_site_fract_x
_atom_site_fract_y
_atom_site_fract_z
Al1 Al 0.2500 0.7500 0.0000
Ag1 Ag 0.2500 0.2500 0.2681
Sb1 Sb 0.2500 0.2500 0.7244
```

Results
Its density of states at the Fermi level is 0.39 states/eV/atom. For the relative energy among the computed polymorphs, the calculation gives 28.4 meV/atom.

AlAgSb2 | PBE | relaxed

Geometry as CIF:
```
data_AlAgSb2
_chemical_formula_sum 'Al1 Ag1 Sb2'
_cell_length_a 4.9960
_cell_length_b 4.9960
_cell_length_c 3.6621
_cell_angle_alpha 90.00
_cell_angle_beta 90.00
_cell_angle_gamma 90.00
_symmetry_space_group_name_H-M 'P 4/m m m'
_symmetry_Int_Tables_number 123
_symmetry_space_group_name_Hall '-P 4 2'
loop_
_atom_site_label
_atom_site_type_symbol
_atom_site_fract_x
_atom_site_fract_y
_atom_site_fract_z
Al1 Al 0.0000 0.0000 0.0000
Ag1 Ag 0.5000 0.5000 0.0000
Sb1 Sb 0.0000 0.5000 0.5000
```

Results
Its density of states at the Fermi level is 0.38 states/eV/atom. The value obtained for the electronic total energy is -13.92 eV for the cell shown.

AlAgSb2 | PBE | relaxed

Geometry as CIF:
```
data_AlAgSb2
_chemical_formula_sum 'Al2 Ag2 Sb4'
_cell_length_a 4.1609
_cell_length_b 4.1609
_cell_length_c 10.7753
_cell_angle_alpha 90.00
_cell_angle_beta 90.00
_cell_angle_gamma 90.00
_symmetry_space_group_name_H-M 'I -4 m 2'
_symmetry_Int_Tables_number 119
_symmetry_space_group_name_Hall 'I -4 -2'
loop_
_atom_site_label
_atom_site_type_symbol
_atom_site_fract_x
_atom_site_fract_y
_atom_site_fract_z
Al1 Al 0.0000 0.0000 0.0000
Ag1 Ag 0.0000 0.5000 0.2500
Sb1 Sb 0.0000 0.0000 0.5000
Sb2 Sb 0.0000 0.5000 0.7500
```

Results
Its density of states at the Fermi level is 0.42 states/eV/atom. The value obtained for the electronic total energy is -27.86 eV for the cell shown.

AlAgSb2 | PBE | relaxed

Geometry as CIF:
```
data_AlAgSb2
_chemical_formula_sum 'Al4 Ag4 Sb8'
_cell_length_a 6.4235
_cell_length_b 6.4235
_cell_length_c 11.8616
_cell_angle_alpha 90.00
_cell_angle_beta 90.00
_cell_angle_gamma 90.00
_symmetry_space_group_name_H-M 'I -4 2 d'
_symmetry_Int_Tables_number 122
_symmetry_space_group_name_Hall 'I -4 2bw'
loop_
_atom_site_label
_atom_site_type_symbol
_atom_site_fract_x
_atom_site_fract_y
_atom_site_fract_z
Al1 Al 0.0000 0.0000 0.0000
Ag1 Ag 0.0000 0.0000 0.5000
Sb1 Sb 0.2447 0.2500 0.1250
```

Results
Its density of states at the Fermi level is 0.36 states/eV/atom. The value obtained for the electronic total energy is -56.87 eV for the cell shown.

AlAgSb | PBE | relaxed

Geometry as CIF:
```
data_AlAgSb
_chemical_formula_sum 'Al4 Ag4 Sb4'
_cell_length_a 6.5401
_cell_length_b 6.5401
_cell_length_c 6.5401
_cell_angle_alpha 90.00
_cell_angle_beta 90.00
_cell_angle_gamma 90.00
_symmetry_space_group_name_H-M 'F -4 3 m'
_symmetry_Int_Tables_number 216
_symmetry_space_group_name_Hall 'F -4 2 3'
loop_
_atom_site_label
_atom_site_type_symbol
_atom_site_fract_x
_atom_site_fract_y
_atom_site_fract_z
Al1 Al 0.0000 0.0000 0.0000
Ag1 Ag 0.2500 0.2500 0.2500
Sb1 Sb 0.2500 0.2500 0.7500
```

Results
Its density of states at the Fermi level is 0.38 states/eV/atom. For the relative energy among the computed polymorphs, the calculation gives 4.7 meV/atom.

AlAg2Sb | PBE | relaxed

Geometry as CIF:
```
data_AlAg2Sb
_chemical_formula_sum 'Al2 Ag4 Sb2'
_cell_length_a 3.0520
_cell_length_b 5.5981
_cell_length_c 9.6610
_cell_angle_alpha 90.00
_cell_angle_beta 90.00
_cell_angle_gamma 90.00
_symmetry_space_group_name_H-M 'C m m m'
_symmetry_Int_Tables_number 65
_symmetry_space_group_name_Hall '-C 2 2'
loop_
_atom_site_label
_atom_site_type_symbol
_atom_site_fract_x
_atom_site_fract_y
_atom_site_fract_z
Al1 Al 0.0000 0.0000 0.0000
Ag1 Ag 0.0000 0.5000 0.2235
Sb1 Sb 0.0000 0.0000 0.5000
```

Results
Its density of states at the Fermi level is 0.35 states/eV/atom. For the relative energy among the computed polymorphs, the calculation gives 97.7 meV/atom.

AlAg2Sb | PBE | relaxed

Geometry as CIF:
```
data_AlAg2Sb
_chemical_formula_sum 'Al2 Ag4 Sb2'
_cell_length_a 4.2820
_cell_length_b 4.2987
_cell_length_c 8.7527
_cell_angle_alpha 90.00
_cell_angle_beta 90.00
_cell_angle_gamma 90.00
_symmetry_space_group_name_H-M 'I m m 2'
_symmetry_Int_Tables_number 44
_symmetry_space_group_name_Hall 'I 2 -2'
loop_
_atom_site_label
_atom_site_type_symbol
_atom_site_fract_x
_atom_site_fract_y
_atom_site_fract_z
Al1 Al 0.0000 0.0000 0.0000
Ag1 Ag 0.0000 0.0000 0.5000
Ag2 Ag 0.0000 0.5000 0.2505
Sb1 Sb 0.0000 0.5000 0.7496
```

Results
Its density of states at the Fermi level is 0.44 states/eV/atom. For the relative energy among the computed polymorphs, the calculation gives 87.9 meV/atom.

AlAgSb | PBE | relaxed

Geometry as CIF:
```
data_AlAgSb
_chemical_formula_sum 'Al4 Ag4 Sb4'
_cell_length_a 6.4602
_cell_length_b 5.0494
_cell_length_c 8.6673
_cell_angle_alpha 90.00
_cell_angle_beta 109.63
_cell_angle_gamma 90.00
_symmetry_space_group_name_H-M 'C 1 2/m 1'
_symmetry_Int_Tables_number 12
_symmetry_space_group_name_Hall '-C 2y'
loop_
_atom_site_label
_atom_site_type_symbol
_atom_site_fract_x
_atom_site_fract_y
_atom_site_fract_z
Al1 Al 0.2213 0.0000 0.0861
Ag1 Ag 0.1711 0.0000 0.4136
Sb1 Sb 0.1787 0.5000 0.2332
```

Results
Its density of states at the Fermi level is 0.24 states/eV/atom. For the relative energy among the computed polymorphs, the calculation gives 0.0 meV/atom.

AlAgSb2 | PBE | relaxed

Geometry as CIF:
```
data_AlAgSb2
_chemical_formula_sum 'Al2 Ag2 Sb4'
_cell_length_a 8.5189
_cell_length_b 3.1958
_cell_length_c 7.1766
_cell_angle_alpha 90.00
_cell_angle_beta 93.13
_cell_angle_gamma 90.00
_symmetry_space_group_name_H-M 'C 1 m 1'
_symmetry_Int_Tables_number 8
_symmetry_space_group_name_Hall 'C -2y'
loop_
_atom_site_label
_atom_site_type_symbol
_atom_site_fract_x
_atom_site_fract_y
_atom_site_fract_z
Al1 Al 0.0000 0.0000 0.0000
Ag1 Ag 0.2177 0.5000 0.1834
Sb1 Sb 0.2791 0.0000 0.7712
Sb2 Sb 0.4466 0.0000 0.3963
```

Results
Its density of states at the Fermi level is 0.45 states/eV/atom. The value obtained for the electronic total energy is -28.80 eV for the cell shown.

AlAg2Sb | PBE | relaxed

Geometry as CIF:
```
data_AlAg2Sb
_chemical_formula_sum 'Al3 Ag6 Sb3'
_cell_length_a 3.2777
_cell_length_b 3.2777
_cell_length_c 26.3132
_cell_angle_alpha 90.00
_cell_angle_beta 90.00
_cell_angle_gamma 120.00
_symmetry_space_group_name_H-M 'R 3 m'
_symmetry_Int_Tables_number 160
_symmetry_space_group_name_Hall 'R 3 -2"'
loop_
_atom_site_label
_atom_site_type_symbol
_atom_site_fract_x
_atom_site_fract_y
_atom_site_fract_z
Al1 Al 0.0000 0.0000 0.0000
Ag1 Ag 0.0000 0.0000 0.2615
Ag2 Ag 0.0000 0.0000 0.5113
Sb1 Sb 0.0000 0.0000 0.7549
```

Results
Its density of states at the Fermi level is 0.28 states/eV/atom. For the relative energy among the computed polymorphs, the calculation gives 73.0 meV/atom.

AlAgSb | PBE | relaxed

Geometry as CIF:
```
data_AlAgSb
_chemical_formula_sum 'Al1 Ag1 Sb1'
_cell_length_a 3.5177
_cell_length_b 3.5177
_cell_length_c 6.0997
_cell_angle_alpha 90.00
_cell_angle_beta 90.00
_cell_angle_gamma 120.00
_symmetry_space_group_name_H-M 'P 3 m 1'
_symmetry_Int_Tables_number 156
_symmetry_space_group_name_Hall 'P 3 -2"'
loop_
_atom_site_label
_atom_site_type_symbol
_atom_site_fract_x
_atom_site_fract_y
_atom_site_fract_z
Al1 Al 0.0000 0.0000 0.0000
Ag1 Ag 0.6667 0.3333 0.7069
Sb1 Sb 0.3333 0.6667 0.3375
```

Results
Its density of states at the Fermi level is 0.44 states/eV/atom. For the relative energy among the computed polymorphs, the calculation gives 43.1 meV/atom.

AlAg2Sb | PBE | relaxed

Geometry as CIF:
```
data_AlAg2Sb
_chemical_formula_sum 'Al4 Ag8 Sb4'
_cell_length_a 6.9234
_cell_length_b 6.9234
_cell_length_c 6.9234
_cell_angle_alpha 90.00
_cell_angle_beta 90.00
_cell_angle_gamma 90.00
_symmetry_space_group_name_H-M 'F m -3 m'
_symmetry_Int_Tables_number 225
_symmetry_space_group_name_Hall '-F 4 2 3'
loop_
_atom_site_label
_atom_site_type_symbol
_atom_site_fract_x
_atom_site_fract_y
_atom_site_fract_z
Al1 Al 0.0000 0.0000 0.0000
Ag1 Ag 0.2500 0.2500 0.2500
Sb1 Sb 0.0000 0.0000 0.5000
```

Results
Its density of states at the Fermi level is 0.14 states/eV/atom. For the relative energy among the computed polymorphs, the calculation gives 154.9 meV/atom.

| no. | volume (Å³/f.u.) |
| --- | --- |
| 1 | 68 |
| 2 | 91 |
| 3 | 93 |
| 4 | 122 |
| 5 | 70 |
| 6 | 83 |
| 7 | 81 |
| 8 | 67 |
| 9 | 98 |
| 10 | 82 |
| 11 | 65 |
| 12 | 83 |